The following is a PBE+U calculation of CsMnCdF6 after structural relaxation, from Alexandria via LeMat-Bulk.

Values from the calculation:
**Crystal system**: orthorhombic
**Uncorrected energy**: -42.85 eV per formula unit
**ρ**: 4.4 g cm⁻³
**Symmetry**: Imma (74)
**V**: 17.27 Å³/atom

```
CsMnCdF6
1.0
8.012 0.000 0.000
0.000 7.552 0.000
-4.006 -3.776 5.137
F Mn Cs Cd
12 2 2 2
Direct
0.696 0.946 0.393
0.304 0.054 0.607
0.882 0.691 0.239
0.882 0.048 0.239
0.357 0.048 0.239
0.604 0.354 0.208
0.118 0.952 0.761
0.643 0.309 0.761
0.118 0.309 0.761
0.396 0.646 0.792
0.643 0.952 0.761
0.357 0.691 0.239
0.000 0.000 0.500
0.500 0.000 0.500
0.897 0.647 0.795
0.103 0.353 0.205
0.500 0.000 0.000
0.500 0.500 0.000
```